[1]
! Cr2RuBr (PBE, relaxed); values from VASP
&SYSTEM
  ibrav = 0, nat = 4, ntyp = 3
/
ATOMIC_SPECIES
Cr 52.00 Cr.upf
Ru 101.07 Ru.upf
Br 79.90 Br.upf
CELL_PARAMETERS angstrom
-3.3557 -7.4243 1.7321
-0.5864 -7.8407 2.7497
-2.6240 -6.5174 4.4744
ATOMIC_POSITIONS crystal
Cr 0.9941 0.9941 0.9941
Ru 0.5124 0.5124 0.5124
Cr 0.2519 0.2519 0.2519
Br 0.7415 0.7415 0.7415
! - Volume: 62.7 Å³ per cell
! - Energy relative to the elements, uncorrected: 2.2 eV/f.u.
! - Spin magnetization: 0.433 μB/atom
! - ΔE to the lowest computed polymorph: 93 meV per atom


[2]
! Pu2PaBe (PBE, relaxed); values from VASP
&SYSTEM
  ibrav = 0, nat = 4, ntyp = 3
/
ATOMIC_SPECIES
Pu 244.00 Pu.upf
Pa 231.04 Pa.upf
Be 9.01 Be.upf
CELL_PARAMETERS angstrom
-3.0657 -1.6537 0.2120
0.4674 -0.4265 3.4319
-3.1034 5.9013 1.1561
ATOMIC_POSITIONS crystal
Pu 0.0000 0.0000 0.7835
Pu 0.0000 0.0000 0.2165
Pa 0.5000 0.5000 0.5000
Be 0.5000 0.5000 0.0000
! - E_form: 208 meV per atom
! - Volume: 82.4 Å³ per cell
! - Spin magnetization: 2.654 μB/atom
! - ΔE to the lowest computed polymorph: 0 meV per atom


[3]
! DyThMgZr (PBE, relaxed); values from VASP
&SYSTEM
  ibrav = 0, nat = 4, ntyp = 4
/
ATOMIC_SPECIES
Zr 91.22 Zr.upf
Th 232.04 Th.upf
Mg 24.30 Mg.upf
Dy 162.50 Dy.upf
CELL_PARAMETERS angstrom
5.3604 0.0000 0.0000
2.6802 4.6422 0.0000
2.6802 1.5474 4.3767
ATOMIC_POSITIONS crystal
Zr 0.5000 0.5000 0.5000
Th 0.7500 0.7500 0.7500
Mg 0.0000 0.0000 0.0000
Dy 0.2500 0.2500 0.2500
! - E_form: 111 meV per atom
! - Volume: 108.9 Å³ per cell
! - Spin magnetization: 0.188 μB/atom


[4]
! Pm2PaAl (PBE, relaxed); values from VASP
&SYSTEM
  ibrav = 0, nat = 4, ntyp = 3
/
ATOMIC_SPECIES
Pm 145.00 Pm.upf
Pa 231.04 Pa.upf
Al 26.98 Al.upf
CELL_PARAMETERS angstrom
5.3344 0.0000 0.0000
2.6672 4.6197 0.0000
2.6672 1.5399 4.3555
ATOMIC_POSITIONS crystal
Pm 0.2500 0.2500 0.2500
Pm 0.7500 0.7500 0.7500
Pa 0.0000 0.0000 0.0000
Al 0.5000 0.5000 0.5000
! - E_form: 196 meV per atom
! - Volume: 107.3 Å³ per cell
! - Spin magnetization: 0.000 μB/atom
! - ΔE to the lowest computed polymorph: 195 meV per atom


[5]
! Zr5Ru (PBE, relaxed); values from VASP
&SYSTEM
  ibrav = 0, nat = 6, ntyp = 2
/
ATOMIC_SPECIES
Zr 91.22 Zr.upf
Ru 101.07 Ru.upf
CELL_PARAMETERS angstrom
-0.4153 5.2384 -0.2565
-4.3252 -2.9635 0.4341
0.3329 0.2836 5.2536
ATOMIC_POSITIONS crystal
Zr 0.0000 0.6840 0.0000
Ru 0.0000 0.0000 0.5000
Zr 0.3160 0.3160 0.0000
Zr 0.6667 0.3333 0.5000
Zr 0.6840 0.0000 0.0000
Zr 0.3333 0.6667 0.5000
! - E_form: 56 meV per atom
! - Volume: 126.4 Å³ per cell
! - Spin magnetization: 0.000 μB/atom
! - ΔE to the lowest computed polymorph: 248 meV per atom


[6]
! Tb4PmHg (PBE, relaxed); values from VASP
&SYSTEM
  ibrav = 0, nat = 6, ntyp = 3
/
ATOMIC_SPECIES
Tb 158.93 Tb.upf
Pm 145.00 Pm.upf
Hg 200.59 Hg.upf
CELL_PARAMETERS angstrom
-0.6433 -0.2305 -3.5415
-3.4031 -0.9813 0.6820
-3.9290 13.5112 -0.1658
ATOMIC_POSITIONS crystal
Tb 0.0000 0.0000 0.6422
Tb 0.5000 0.5000 0.8197
Pm 0.0000 0.0000 0.0000
Hg 0.5000 0.5000 0.5000
Tb 0.5000 0.5000 0.1803
Tb 0.0000 0.0000 0.3578
! - E_form: -144 meV per atom
! - Volume: 183.1 Å³ per cell
! - Spin magnetization: 0.000 μB/atom
! - ΔE to the lowest computed polymorph: 0 meV per atom


[7]
! Tc2SbPt (PBE, relaxed); values from VASP
&SYSTEM
  ibrav = 0, nat = 4, ntyp = 3
/
ATOMIC_SPECIES
Tc 98.00 Tc.upf
Pt 195.08 Pt.upf
Sb 121.76 Sb.upf
CELL_PARAMETERS angstrom
9.2067 0.0275 0.0162
8.7326 2.9164 0.0162
8.7326 1.4331 2.5400
ATOMIC_POSITIONS crystal
Tc 0.2537 0.2537 0.2537
Pt 0.5031 0.5031 0.5031
Sb 0.7484 0.7484 0.7484
Tc 0.9948 0.9948 0.9948
! - Volume: 67.2 Å³ per cell
! - Energy relative to the elements, uncorrected: 0.9 eV/f.u.
! - Spin magnetization: 0.000 μB/atom


[8]
! Rb2SnAsI6 (PBE, relaxed); values from VASP
&SYSTEM
  ibrav = 0, nat = 10, ntyp = 4
/
ATOMIC_SPECIES
I 126.90 I.upf
As 74.92 As.upf
Rb 85.47 Rb.upf
Sn 118.71 Sn.upf
CELL_PARAMETERS angstrom
-2.0495 -0.8129 -8.2726
3.7143 -7.7120 -0.1624
-4.4202 -6.8249 -2.6644
ATOMIC_POSITIONS crystal
I 0.7439 0.7439 0.0000
I 0.7427 0.7427 0.5146
As 0.5000 0.5000 0.0000
I 0.2561 0.7439 0.0000
Rb 0.7500 0.2500 0.5000
I 0.2573 0.2573 0.4854
Sn 0.0000 0.0000 0.0000
Rb 0.2500 0.7500 0.5000
I 0.2561 0.2561 0.0000
I 0.7439 0.2561 0.0000
! - Volume: 443.2 Å³ per cell
! - Energy relative to the elements, uncorrected: -7.1 eV/f.u.
! - Spin magnetization: 0.000 μB/atom


[9]
! CsH3Pt (PBE, relaxed); values from VASP
&SYSTEM
  ibrav = 0, nat = 5, ntyp = 3
/
ATOMIC_SPECIES
H 1.01 H.upf
Cs 132.91 Cs.upf
Pt 195.08 Pt.upf
CELL_PARAMETERS angstrom
-2.5315 3.5311 0.0918
-2.9736 -2.1913 2.2893
1.9065 1.2708 3.6927
ATOMIC_POSITIONS crystal
H 0.0000 0.5000 0.0000
Cs 0.0000 0.0000 0.0000
Pt 0.5000 0.5000 0.5000
H 0.5000 0.0000 0.0000
H 0.0000 0.0000 0.5000
! - Volume: 82.1 Å³ per cell
! - Spin magnetization: 0.145 μB/atom
! - ΔE to the lowest computed polymorph: 2058 meV per atom


[10]
! Dy6Sb3AsSe2 (PBE, relaxed); values from VASP
&SYSTEM
  ibrav = 0, nat = 12, ntyp = 4
/
ATOMIC_SPECIES
Se 78.96 Se.upf
Sb 121.76 Sb.upf
Dy 162.50 Dy.upf
As 74.92 As.upf
CELL_PARAMETERS angstrom
4.2430 0.0000 0.0000
0.0000 8.4784 0.2969
-2.1215 -2.4460 8.9246
ATOMIC_POSITIONS crystal
Se 0.8330 0.6656 0.6660
Se 0.1670 0.3344 0.3340
Sb 0.5000 0.5000 0.0000
Dy 0.9988 0.7629 0.9977
Dy 0.6677 0.5782 0.3354
Sb 0.1688 0.8334 0.3375
Dy 0.3394 0.9143 0.6788
Sb 0.8312 0.1666 0.6625
Dy 0.6606 0.0857 0.3212
As 0.5000 0.0000 0.0000
Dy 0.0012 0.2371 0.0023
Dy 0.3323 0.4218 0.6646
! - Volume: 324.1 Å³ per cell
! - Energy relative to the elements, uncorrected: -17.0 eV/f.u.
! - Spin magnetization: 0.000 μB/atom


[11]
! LaFeSi2 (PBE, relaxed); values from VASP
&SYSTEM
  ibrav = 0, nat = 4, ntyp = 3
/
ATOMIC_SPECIES
La 138.91 La.upf
Fe 55.84 Fe.upf
Si 28.09 Si.upf
CELL_PARAMETERS angstrom
-2.4752 -0.8165 2.5102
2.6603 -1.9947 1.9743
1.3568 4.6212 2.8409
ATOMIC_POSITIONS crystal
La 0.5000 0.6250 0.7941
Fe 0.0000 0.6250 0.3003
Si 0.5000 0.1250 0.3437
Si 0.0000 0.1250 0.0619
! - Volume: 78.2 Å³ per cell
! - Energy relative to the elements, uncorrected: -1.0 eV/f.u.
! - Spin magnetization: 0.511 μB/atom


[12]
! Pa6N8O (PBE, relaxed); values from VASP
&SYSTEM
  ibrav = 0, nat = 15, ntyp = 3
/
ATOMIC_SPECIES
N 14.01 N.upf
Pa 231.04 Pa.upf
O 16.00 O.upf
CELL_PARAMETERS angstrom
-0.6956 -2.3040 6.6189
-5.0787 -4.3187 2.2711
0.9791 -6.6522 2.0954
ATOMIC_POSITIONS crystal
N 0.3329 0.3329 0.3329
N 0.5505 0.8772 0.2091
Pa 0.7442 0.0823 0.4221
Pa 0.9177 0.5779 0.2558
N 0.2091 0.5505 0.8772
N 0.6671 0.6671 0.6671
O 0.0000 0.0000 0.0000
Pa 0.0823 0.4221 0.7442
N 0.1228 0.7909 0.4495
Pa 0.2558 0.9177 0.5779
N 0.8772 0.2091 0.5505
N 0.7909 0.4495 0.1228
Pa 0.5779 0.2558 0.9177
Pa 0.4221 0.7442 0.0823
N 0.4495 0.1228 0.7909
! - Volume: 217.7 Å³ per cell
! - Energy relative to the elements, uncorrected: -27.3 eV/f.u.
! - Spin magnetization: 0.000 μB/atom


[13]
! TlV2AgI (PBE, relaxed); values from VASP
&SYSTEM
  ibrav = 0, nat = 5, ntyp = 4
/
ATOMIC_SPECIES
Ag 107.87 Ag.upf
V 50.94 V.upf
I 126.90 I.upf
Tl 204.38 Tl.upf
CELL_PARAMETERS angstrom
5.3046 0.0000 0.0000
0.0000 5.2353 0.0000
0.0000 0.0000 5.3046
ATOMIC_POSITIONS crystal
Ag 0.0000 0.5000 0.0000
V 0.5000 0.0000 0.0000
I 0.5000 0.5000 0.5000
Tl 0.0000 0.0000 0.0000
V 0.0000 0.0000 0.5000
! - Volume: 147.3 Å³ per cell
! - Energy relative to the elements, uncorrected: 6.1 eV/f.u.
! - Spin magnetization: 1.236 μB/atom


[14]
! VCu2Pb2 (PBE, relaxed); values from VASP
&SYSTEM
  ibrav = 0, nat = 10, ntyp = 3
/
ATOMIC_SPECIES
Pb 207.20 Pb.upf
V 50.94 V.upf
Cu 63.55 Cu.upf
CELL_PARAMETERS angstrom
-0.2407 7.6400 0.7441
-3.7943 0.5287 -6.6562
-2.9928 -0.2584 1.6854
ATOMIC_POSITIONS crystal
Pb 0.3297 0.8297 0.0000
V 0.0000 0.0000 0.0000
Cu 0.8767 0.3767 0.5000
Pb 0.8297 0.6703 0.0000
Cu 0.6233 0.8767 0.5000
Cu 0.1233 0.6233 0.5000
Pb 0.1703 0.3297 0.0000
V 0.5000 0.5000 0.0000
Pb 0.6703 0.1703 0.0000
Cu 0.3767 0.1233 0.5000
! - E_form: 551 meV per atom
! - Volume: 203.2 Å³ per cell
! - Spin magnetization: 0.562 μB/atom
! - ΔE to the lowest computed polymorph: 149 meV per atom


[15]
! Y8Te4AsPt3 (PBE, relaxed); values from VASP
&SYSTEM
  ibrav = 0, nat = 16, ntyp = 4
/
ATOMIC_SPECIES
Pt 195.08 Pt.upf
Te 127.60 Te.upf
Y 88.91 Y.upf
As 74.92 As.upf
CELL_PARAMETERS angstrom
8.3709 0.0000 0.0000
0.0000 8.6935 0.2194
-4.1854 -4.1798 5.9234
ATOMIC_POSITIONS crystal
Pt 0.5000 0.5000 0.0000
Te 0.5000 0.0000 0.5000
Te 0.0000 0.0000 0.0000
Y 0.7370 0.7108 0.4739
Te 0.5000 0.0000 0.0000
Pt 0.5000 0.5000 0.5000
Pt 0.0000 0.5000 0.5000
Te 0.0000 0.0000 0.5000
Y 0.7585 0.2831 0.5170
Y 0.7340 0.7170 0.9755
Y 0.7585 0.2830 0.0245
Y 0.2415 0.7169 0.4830
Y 0.2415 0.7170 0.9755
Y 0.2660 0.2830 0.0245
As 0.0000 0.5000 0.0000
Y 0.2630 0.2892 0.5261
! - Volume: 438.7 Å³ per cell
! - Energy relative to the elements, uncorrected: -20.9 eV/f.u.
! - Spin magnetization: 0.000 μB/atom


[16]
! ZnCoSb6 (PBE, relaxed); values from VASP
&SYSTEM
  ibrav = 0, nat = 16, ntyp = 3
/
ATOMIC_SPECIES
Sb 121.76 Sb.upf
Zn 65.41 Zn.upf
Co 58.93 Co.upf
CELL_PARAMETERS angstrom
7.8040 -0.1533 -2.6719
-3.9780 6.7126 -2.6797
0.0243 0.0223 8.1080
ATOMIC_POSITIONS crystal
Sb 0.3231 0.4946 0.1372
Sb 0.3573 0.1859 0.8628
Zn 0.5000 0.5000 0.5000
Sb 0.8516 0.6406 0.4922
Sb 0.1854 0.8269 0.3292
Sb 0.5023 0.1438 0.3292
Sb 0.1484 0.3594 0.5078
Zn 0.0000 0.0000 0.5000
Sb 0.8146 0.1731 0.6708
Sb 0.8414 0.3253 0.1666
Sb 0.4977 0.8562 0.6708
Co 0.0000 0.5000 0.0000
Sb 0.1586 0.6747 0.8334
Sb 0.6769 0.5054 0.8628
Co 0.5000 0.0000 0.0000
Sb 0.6427 0.8141 0.1372
! - Volume: 420.9 Å³ per cell
! - Energy relative to the elements, uncorrected: -0.1 eV/f.u.
! - Spin magnetization: 0.000 μB/atom


[17]
! FeTcAs2 (PBE, relaxed); values from VASP
&SYSTEM
  ibrav = 0, nat = 4, ntyp = 3
/
ATOMIC_SPECIES
Tc 98.00 Tc.upf
As 74.92 As.upf
Fe 55.84 Fe.upf
CELL_PARAMETERS angstrom
4.5628 -0.0415 0.0418
3.5031 2.9240 0.0418
1.0082 0.3603 4.2992
ATOMIC_POSITIONS crystal
Tc 0.2614 0.2614 0.1923
As 0.9951 0.9951 0.0541
As 0.7567 0.7567 0.6678
Fe 0.4868 0.4868 0.5858
! - E_form: -14 meV per atom
! - Volume: 57.8 Å³ per cell
! - Spin magnetization: 0.398 μB/atom
! - ΔE to the lowest computed polymorph: 17 meV per atom


[18]
! Ta2AlHg (PBE, relaxed); values from VASP
&SYSTEM
  ibrav = 0, nat = 4, ntyp = 3
/
ATOMIC_SPECIES
Al 26.98 Al.upf
Ta 180.95 Ta.upf
Hg 200.59 Hg.upf
CELL_PARAMETERS angstrom
2.9257 0.0482 0.0000
-0.0557 2.9255 0.0000
0.0000 0.0000 8.3688
ATOMIC_POSITIONS crystal
Al 0.5000 0.5000 0.2500
Ta 0.0000 0.0000 0.4780
Ta 0.0000 0.0000 0.0220
Hg 0.5000 0.5000 0.7500
! - E_form: 61 meV per atom
! - Volume: 71.7 Å³ per cell
! - Spin magnetization: 0.000 μB/atom
! - ΔE to the lowest computed polymorph: 0 meV per atom


[19]
! Ce2Al2Si (PBE, relaxed); values from VASP
&SYSTEM
  ibrav = 0, nat = 10, ntyp = 3
/
ATOMIC_SPECIES
Al 26.98 Al.upf
Ce 140.12 Ce.upf
Si 28.09 Si.upf
CELL_PARAMETERS angstrom
-3.0938 2.5504 -0.7420
-3.7587 -2.5709 -4.3683
-7.7192 -4.9985 3.8006
ATOMIC_POSITIONS crystal
Al 0.4759 0.9034 0.1449
Ce 0.8362 0.3264 0.0012
Al 0.6277 0.4343 0.3104
Ce 0.1116 0.1849 0.5918
Ce 0.8884 0.8151 0.4082
Ce 0.1638 0.6736 0.9988
Al 0.5241 0.0966 0.8551
Si 0.2616 0.2086 0.2682
Al 0.3723 0.5657 0.6896
Si 0.7384 0.7914 0.7318
! - Volume: 221.0 Å³ per cell
! - Energy relative to the elements, uncorrected: -2.2 eV/f.u.
! - Spin magnetization: 0.302 μB/atom
! - ΔE to the lowest computed polymorph: 0 meV per atom


[20]
! LiInSe (PBE, relaxed); values from VASP
&SYSTEM
  ibrav = 0, nat = 3, ntyp = 3
/
ATOMIC_SPECIES
Se 78.96 Se.upf
Li 6.94 Li.upf
In 114.82 In.upf
CELL_PARAMETERS angstrom
-1.8373 -2.4486 3.4873
2.5057 -3.2984 2.0914
1.5194 0.6404 4.3375
ATOMIC_POSITIONS crystal
Se 0.0000 0.0000 0.0000
Li 0.2500 0.2500 0.2500
In 0.5000 0.5000 0.5000
! - Volume: 70.7 Å³ per cell
! - Energy relative to the elements, uncorrected: -1.6 eV/f.u.
! - Spin magnetization: 0.000 μB/atom
! - ΔE to the lowest computed polymorph: 128 meV per atom


[21]
! ScCd2Pt2 (PBE, relaxed); values from VASP
&SYSTEM
  ibrav = 0, nat = 5, ntyp = 3
/
ATOMIC_SPECIES
Cd 112.41 Cd.upf
Pt 195.08 Pt.upf
Sc 44.96 Sc.upf
CELL_PARAMETERS angstrom
-0.5686 -3.4662 -1.5507
3.7816 -0.6593 0.0870
0.9949 -4.7486 5.4958
ATOMIC_POSITIONS crystal
Cd 0.2500 0.7500 0.5000
Pt 0.4052 0.4052 0.1896
Cd 0.7500 0.2500 0.5000
Pt 0.5948 0.5948 0.8104
Sc 0.0000 0.0000 0.0000
! - E_form: -483 meV per atom
! - Volume: 100.4 Å³ per cell
! - Spin magnetization: 0.000 μB/atom
! - ΔE to the lowest computed polymorph: 83 meV per atom


[22]
! MnCd2S3 (PBE, relaxed); values from VASP
&SYSTEM
  ibrav = 0, nat = 12, ntyp = 3
/
ATOMIC_SPECIES
S 32.06 S.upf
Cd 112.41 Cd.upf
Mn 54.94 Mn.upf
CELL_PARAMETERS angstrom
6.0895 -4.5330 2.0307
7.3848 -0.6578 2.6050
-0.8869 -1.1382 9.6814
ATOMIC_POSITIONS crystal
S 0.0506 0.0506 0.3821
Cd 0.1793 0.1793 0.5088
S 0.7825 0.7825 0.4524
Mn 0.9052 0.9052 0.5677
S 0.7168 0.7168 0.0663
Cd 0.2371 0.2371 0.9039
S 0.3888 0.3888 0.7078
S 0.1103 0.1103 0.7759
S 0.4504 0.4504 0.1153
Mn 0.5689 0.5689 0.2390
Cd 0.8491 0.8491 0.1849
Cd 0.5112 0.5112 0.8457
! - Volume: 295.6 Å³ per cell
! - Energy relative to the elements, uncorrected: -3.6 eV/f.u.
! - Spin magnetization: 0.833 μB/atom


[23]
! NiTe2As (PBE, relaxed); values from VASP
&SYSTEM
  ibrav = 0, nat = 4, ntyp = 3
/
ATOMIC_SPECIES
Ni 58.69 Ni.upf
Te 127.60 Te.upf
As 74.92 As.upf
CELL_PARAMETERS angstrom
-2.6451 -0.5313 -1.6811
1.6663 -1.7436 -2.0708
-1.7416 -7.8748 5.2291
ATOMIC_POSITIONS crystal
Ni 0.5000 0.5000 0.5800
Te 0.0000 0.0000 0.9451
As 0.0000 0.0000 0.6616
Te 0.5000 0.5000 0.3132
! - Volume: 97.1 Å³ per cell
! - Energy relative to the elements, uncorrected: -0.1 eV/f.u.
! - Spin magnetization: 0.000 μB/atom


[24]
! ScCr4Ru (PBE, relaxed); values from VASP
&SYSTEM
  ibrav = 0, nat = 6, ntyp = 3
/
ATOMIC_SPECIES
Sc 44.96 Sc.upf
Cr 52.00 Cr.upf
Ru 101.07 Ru.upf
CELL_PARAMETERS angstrom
0.0000 3.4353 3.4353
3.4353 0.0000 3.4353
3.4353 3.4353 0.0000
ATOMIC_POSITIONS crystal
Sc 0.0000 0.0000 0.0000
Cr 0.6257 0.1229 0.6257
Cr 0.1229 0.6257 0.6257
Cr 0.6257 0.6257 0.1229
Ru 0.2500 0.2500 0.2500
Cr 0.6257 0.6257 0.6257
! - E_form: 69 meV per atom
! - Volume: 81.1 Å³ per cell
! - Spin magnetization: 0.000 μB/atom


[25]
! Cs2Te5 (PBE, relaxed); values from VASP
&SYSTEM
  ibrav = 0, nat = 14, ntyp = 2
/
ATOMIC_SPECIES
Cs 132.91 Cs.upf
Te 127.60 Te.upf
CELL_PARAMETERS angstrom
-3.3108 6.7489 2.2034
-3.5939 -5.3511 4.4512
7.2506 1.1818 7.2748
ATOMIC_POSITIONS crystal
Cs 0.7073 0.2927 0.7500
Te 0.3820 0.1641 0.0411
Te 0.1641 0.3820 0.9589
Te 0.6180 0.8359 0.5411
Te 0.8359 0.6180 0.0411
Cs 0.9324 0.0676 0.2500
Te 0.1641 0.3820 0.5411
Te 0.8359 0.6180 0.4589
Te 0.3820 0.1641 0.4589
Te 0.6125 0.3875 0.2500
Te 0.3875 0.6125 0.7500
Te 0.6180 0.8359 0.9589
Cs 0.2927 0.7073 0.2500
Cs 0.0676 0.9324 0.7500
! - Volume: 616.7 Å³ per cell
! - Energy relative to the elements, uncorrected: -4.0 eV/f.u.
! - Spin magnetization: 0.000 μB/atom